[1]
VASP calculation (meta-GGA SCAN) on a PBEsol-optimized structure of ScCuSn3.

* calculated volume: 24.71 Å³/atom
* energy relative to the elements: 0.25 eV per atom

a b c (Å): 4.981 4.981 4.981
angles (deg): 90.00 90.00 90.00
Fractional positions:
Sn1 0.000 0.500 0.000
Sn2 0.000 0.000 0.500
Sn3 0.500 0.000 0.000
Sc1 0.500 0.500 0.500
Cu1 0.000 0.000 0.000

***

[2]
VASP calculation (meta-GGA SCAN) on a PBEsol-optimized structure of Mn3SnO8.

* calculated volume: 11.77 Å³/atom
* energy relative to the elements, uncorrected: -1.889 eV/atom

a b c (Å): 5.664 5.664 6.045
angles (deg): 62.06 62.06 60.00
Fractional positions:
O1 0.290 0.749 0.211
O2 0.749 0.749 0.211
O3 0.251 0.251 0.789
O4 0.749 0.290 0.211
O5 0.251 0.710 0.789
O6 0.731 0.731 0.808
O7 0.269 0.269 0.192
O8 0.710 0.251 0.789
Mn1 0.500 0.500 0.000
Mn2 0.500 0.000 0.000
Mn3 0.000 0.500 0.000
Sn1 0.500 0.500 0.500